## Ca2AcTl2Ag2 (GGA-PBE)

Data for a geometry-optimized Ca2AcTl2Ag2 structure.

Values from the calculation:
mass density	7.313	Mg/m³
space-group type	R-3m, No. 166
energy relative to the elements	-0.260	eV per atom
final energy	-20.370	eV for the cell shown

```
7
Lattice="4.973 0.000 0.000 2.486 4.307 0.000 2.486 1.436 9.878" Properties=species:S:1:pos:R:3 pbc="T T T"
Ca 7.459 4.307 3.768
Ca 2.486 1.436 6.111
Ac 0.000 0.000 0.000
Tl 2.486 1.436 2.285
Tl 7.459 4.307 7.594
Ag 4.973 2.871 7.786
Ag 4.973 2.871 2.093
```

***

## ReIF3 (GGA-PBE)

Data for a geometry-optimized ReIF3 structure.

Values from the calculation:
mass density	5.568	Mg/m³
space-group type	Immm, No. 71
formation energy without anion corrections	-667	kJ/mol of formula units
final energy	-53.049	eV for the cell shown
energy above the lowest structure with this stoichiometry	0.0	meV/atom

```
10
Lattice="5.651 0.000 2.887 2.490 5.872 2.101 0.133 -0.041 6.714" Properties=species:S:1:pos:R:3 pbc="T T T"
I 3.280 4.565 7.528
I 4.994 1.266 4.174
F 4.748 1.416 7.638
F 3.526 4.414 4.064
F 2.251 1.107 2.569
F 5.943 4.414 5.299
F 6.023 4.724 9.133
F 2.331 1.416 6.403
Re 1.738 0.000 0.888
Re 3.913 0.000 1.999
```

***

## HfPa2N3 (GGA-PBE)

Data for a geometry-optimized HfPa2N3 structure.

Values from the calculation:
mass density	13.374	Mg/m³
space-group type	I4/mmm, No. 139
formation energy without anion corrections	-936	kJ/mol of formula units
final energy	-63.623	eV for the cell shown

```
6
Lattice="3.338 -0.001 -0.761 -0.174 3.334 -0.761 -0.019 -0.018 7.624" Properties=species:S:1:pos:R:3 pbc="T T T"
N 1.872 1.977 0.554
N 2.940 3.103 5.240
N 0.862 0.913 3.825
Pa 2.428 2.562 2.991
Pa 0.306 0.328 1.387
Hf 1.358 1.436 6.001
```

***

## Sc5TlAu4 (GGA-PBE)

Data for a geometry-optimized Sc5TlAu4 structure.

Values from the calculation:
mass density	9.877	Mg/m³
space-group type	P4/mmm, No. 123
energy relative to the elements	-0.702	eV per atom
final energy	-54.150	eV for the cell shown

```
10
Lattice="-2.895 -1.569 0.881 -0.593 -0.744 -3.273 8.775 -15.156 1.852" Properties=species:S:1:pos:R:3 pbc="T T T"
Au 1.842 -3.182 0.389
Au 6.933 -11.974 1.464
Au 5.233 -9.037 1.105
Au 3.543 -6.119 0.748
Sc 2.644 -8.734 -0.270
Sc 4.338 -11.660 0.088
Sc 6.023 -14.571 0.444
Sc -0.736 -2.897 -0.983
Sc 0.949 -5.808 -0.628
Tl 0.000 0.000 0.000
```

***

## In2RuI8 (GGA-PBE)

Data for a geometry-optimized In2RuI8 structure.

Values from the calculation:
mass density	4.237	Mg/m³
space-group type	C2/m, No. 12
formation energy without anion corrections	-355	kJ/mol of formula units
final energy	-30.835	eV for the cell shown

```
11
Lattice="7.173 0.078 0.852 0.904 8.507 1.601 0.152 0.160 8.701" Properties=species:S:1:pos:R:3 pbc="T T T"
I 2.557 7.127 8.649
I 6.120 5.376 6.969
I 2.109 3.370 4.185
I 2.324 7.703 3.777
I 6.394 6.471 2.760
I 5.672 1.619 2.504
I 1.835 2.274 8.394
I 5.905 1.043 7.377
Ru 0.000 0.000 0.000
In 2.864 1.636 2.227
In 5.365 7.110 8.927
```

***

## Dy2PuScSe4 (GGA-PBE)

Data for a geometry-optimized Dy2PuScSe4 structure.

Values from the calculation:
mass density	8.251	Mg/m³
space-group type	P2/m, No. 10
formation energy without anion corrections	-1283	kJ/mol of formula units
final energy	-57.099	eV for the cell shown

```
8
Lattice="-3.541 1.917 -0.119 -1.635 -3.388 -5.921 -2.219 -3.757 5.486" Properties=species:S:1:pos:R:3 pbc="T T T"
Dy -1.927 -3.572 -0.218
Dy -2.880 -0.920 2.683
Se -1.790 -3.500 -3.124
Se -4.697 -4.466 -0.408
Se -2.064 -3.645 2.688
Se -2.699 -0.761 -0.147
Pu -2.588 -0.735 -3.020
Sc 0.000 0.000 0.000
```

***

## KSc2Pb (GGA-PBE)

Data for a geometry-optimized KSc2Pb structure.

Values from the calculation:
mass density	4.773	Mg/m³
space-group type	Cmmm, No. 65
energy relative to the elements	0.371	eV per atom
final energy	-15.985	eV for the cell shown

```
4
Lattice="-1.329 2.083 5.841 -4.100 -4.195 -2.411 1.731 -2.413 1.254" Properties=species:S:1:pos:R:3 pbc="T T T"
Sc -2.715 -1.056 1.715
Sc 0.000 0.000 0.000
Pb -1.185 -3.304 -0.578
K 0.201 -0.165 3.548
```

***

## VCdBr2Cl (GGA-PBE)

Data for a geometry-optimized VCdBr2Cl structure.

Values from the calculation:
mass density	4.517	Mg/m³
space-group type	P4/mmm, No. 123
formation energy without anion corrections	-256	kJ/mol of formula units
final energy	-17.882	eV for the cell shown

```
5
Lattice="-5.061 -1.279 0.370 1.225 -4.483 1.254 0.012 1.413 5.039" Properties=species:S:1:pos:R:3 pbc="T T T"
Cd -1.912 -2.174 3.332
Br -2.530 -0.639 0.185
Br 0.006 0.707 2.519
V 0.000 0.000 0.000
Cl 0.612 -2.242 0.627
```

***

## NaEu2Co (GGA-PBE)

Data for a geometry-optimized NaEu2Co structure.

Values from the calculation:
mass density	5.409	Mg/m³
space-group type	P4/mmm, No. 123
energy relative to the elements	0.122	eV per atom
final energy	-28.485	eV for the cell shown

```
4
Lattice="-1.525 1.357 2.882 -2.290 -2.689 0.055 5.956 -4.959 5.487" Properties=species:S:1:pos:R:3 pbc="T T T"
Eu 1.058 -0.881 0.975
Eu 4.898 -4.078 4.512
Na 1.071 -3.145 4.212
Co -1.907 -0.666 1.469
```

***

## SrAcLaCd (GGA-PBE)

Data for a geometry-optimized SrAcLaCd structure.

Values from the calculation:
mass density	6.211	Mg/m³
space-group type	F-43m, No. 216
energy relative to the elements	0.082	eV per atom
final energy	-11.304	eV for the cell shown
energy above the lowest structure with this stoichiometry	221.6	meV/atom

```
4
Lattice="5.981 0.000 0.000 2.991 5.180 0.000 2.991 1.727 4.884" Properties=species:S:1:pos:R:3 pbc="T T T"
Ac 2.991 1.727 1.221
Cd 8.972 5.180 3.663
La 5.981 3.453 2.442
Sr 0.000 0.000 0.000
```

***

## La2InBi4 (GGA-PBE)

Data for a geometry-optimized La2InBi4 structure.

Values from the calculation:
mass density	8.682	Mg/m³
space-group type	P-4m2, No. 115
energy relative to the elements	-0.601	eV per atom
final energy	-32.327	eV for the cell shown
energy above the lowest structure with this stoichiometry	0.0	meV/atom

```
7
Lattice="4.642 0.000 0.000 0.000 4.642 0.000 0.000 0.000 10.904" Properties=species:S:1:pos:R:3 pbc="T T T"
Bi 2.321 2.321 5.452
Bi 0.000 0.000 5.452
Bi 0.000 2.321 8.918
Bi 2.321 0.000 1.985
In 2.321 2.321 0.000
La 2.321 0.000 8.035
La 0.000 2.321 2.868
```

***

## LiY2 (GGA-PBE)

Data for a geometry-optimized LiY2 structure.

Values from the calculation:
mass density	3.550	Mg/m³
space-group type	I4_1/amd, No. 141
energy relative to the elements	0.185	eV per atom
final energy	-57.150	eV for the cell shown
energy above the lowest structure with this stoichiometry	109.1	meV/atom

```
12
Lattice="12.215 -0.040 0.000 9.797 7.295 0.000 -11.006 -3.627 3.862" Properties=species:S:1:pos:R:3 pbc="T T T"
Li 6.833 4.285 1.931
Li 2.964 3.010 1.931
Li 20.078 6.617 0.000
Li 1.934 0.638 0.000
Y 8.081 0.630 1.931
Y 12.980 4.278 0.000
Y 4.134 -0.671 1.931
Y 5.516 1.818 0.000
Y 9.032 2.977 0.000
Y 0.618 -1.830 1.931
Y 16.496 5.437 0.000
Y 11.597 1.789 1.931
```

***

## Pr2NpTc2C4 (GGA-PBE)

Data for a geometry-optimized Pr2NpTc2C4 structure.

Values from the calculation:
mass density	9.051	Mg/m³
space-group type	C2/m, No. 12
energy relative to the elements	0.093	eV per atom
final energy	-79.294	eV for the cell shown

```
9
Lattice="3.488 0.000 0.000 -1.744 6.812 0.246 0.000 -2.136 5.814" Properties=species:S:1:pos:R:3 pbc="T T T"
C 0.000 5.813 1.551
C 1.744 -1.137 4.508
C 0.000 2.627 1.341
C 1.744 2.049 4.718
Tc 0.000 2.234 5.951
Tc 1.744 2.442 0.108
Np 0.000 0.000 0.000
Pr 1.744 3.989 2.901
Pr 0.000 0.687 3.158
```

***

## Er6Co2Pd (GGA-PBE)

Data for a geometry-optimized Er6Co2Pd structure.

Values from the calculation:
mass density	9.218	Mg/m³
space-group type	P2_1/c, No. 14
energy relative to the elements	-0.246	eV per atom
final energy	-97.996	eV for the cell shown
energy above the lowest structure with this stoichiometry	108.3	meV/atom

```
18
Lattice="6.408 0.000 0.087 0.000 6.982 0.000 -0.678 0.000 9.878" Properties=species:S:1:pos:R:3 pbc="T T T"
Pd 3.204 3.491 0.044
Pd -0.339 0.000 4.939
Co 3.001 6.199 7.293
Co 2.729 0.783 2.672
Co 0.136 4.274 2.310
Co 5.594 2.708 7.655
Er 0.920 2.331 4.115
Er 0.931 2.214 0.760
Er 4.118 3.060 2.611
Er 1.611 3.922 7.354
Er 1.945 5.822 0.868
Er 4.809 4.651 5.850
Er 0.575 0.431 7.507
Er 3.796 1.277 5.743
Er 1.934 5.705 4.222
Er 5.155 6.551 2.458
Er 4.799 4.768 9.205
Er 3.785 1.160 9.098
```

***

## Pm6Sm3Y2Tl (GGA-PBE)

Data for a geometry-optimized Pm6Sm3Y2Tl structure.

Values from the calculation:
mass density	7.184	Mg/m³
space-group type	C2/m, No. 12
energy relative to the elements	-0.013	eV per atom
final energy	-58.111	eV for the cell shown

```
12
Lattice="-1.188 5.734 -2.169 -2.765 -2.017 5.223 10.215 2.959 5.281" Properties=species:S:1:pos:R:3 pbc="T T T"
Pm 1.288 0.368 3.252
Pm 4.974 6.307 5.083
Pm 6.709 3.137 4.721
Pm 4.459 3.774 7.500
Pm 1.803 2.902 0.836
Pm -0.447 3.538 3.615
Sm 3.131 3.338 4.168
Sm 2.608 0.768 6.618
Sm 3.654 5.907 1.717
Y -1.715 3.145 0.300
Y -2.238 0.572 2.754
Tl 0.000 0.000 0.000
```

***

## Li2Tb2Cd3 (GGA-PBE)

Data for a geometry-optimized Li2Tb2Cd3 structure.

Values from the calculation:
mass density	6.896	Mg/m³
space-group type	Cmmm, No. 65
energy relative to the elements	-0.220	eV per atom
final energy	-17.372	eV for the cell shown

```
7
Lattice="3.934 0.000 0.522 0.000 3.423 0.000 0.407 0.000 12.016" Properties=species:S:1:pos:R:3 pbc="T T T"
Cd 3.423 0.000 4.375
Cd 0.918 0.000 8.163
Cd 0.000 0.000 0.000
Tb 2.626 1.712 10.375
Tb 1.715 1.712 2.163
Li 1.294 1.712 5.336
Li 3.048 1.712 7.202
```

***

## NaLiMgBr2 (GGA-PBE)

Data for a geometry-optimized NaLiMgBr2 structure.

Values from the calculation:
mass density	2.328	Mg/m³
space-group type	P4/mmm, No. 123
formation energy without anion corrections	-286	kJ/mol of formula units
final energy	-11.132	eV for the cell shown

```
5
Lattice="-4.773 -0.473 1.786 0.848 -5.719 0.750 1.691 0.874 4.751" Properties=species:S:1:pos:R:3 pbc="T T T"
Na 0.424 -2.859 0.375
Br 0.845 0.437 2.375
Br -2.386 -0.237 0.893
Mg -1.117 -2.659 3.643
Li 0.000 0.000 0.000
```

***

## TaReH3 (GGA-PBE)

Data for a geometry-optimized TaReH3 structure.

Values from the calculation:
mass density	14.210	Mg/m³
space-group type	Pm-3m, No. 221
final energy	-30.829	eV for the cell shown
energy above the lowest structure with this stoichiometry	258.5	meV/atom

```
5
Lattice="-0.009 1.955 2.916 -3.050 1.439 -0.975 -1.738 -2.536 1.695" Properties=species:S:1:pos:R:3 pbc="T T T"
H -0.869 -1.268 0.847
H -0.005 0.978 1.458
H -1.525 0.719 -0.487
Re -2.399 0.429 1.818
Ta 0.000 0.000 0.000
```

***

## Cs2CoI5 (GGA-PBE)

Data for a geometry-optimized Cs2CoI5 structure.

Values from the calculation:
mass density	4.096	Mg/m³
space-group type	Fmm2, No. 42
formation energy without anion corrections	-604	kJ/mol of formula units
final energy	-22.822	eV for the cell shown

```
8
Lattice="-5.229 5.627 2.417 -1.704 0.720 -7.839 -0.808 -7.380 3.253" Properties=species:S:1:pos:R:3 pbc="T T T"
I -5.886 0.786 -2.401
I -5.850 -2.763 -0.687
I -5.487 -2.612 3.337
I -1.849 -1.823 0.236
I -2.654 1.946 -5.819
Cs -3.076 -1.661 -3.718
Cs -4.842 0.789 1.409
Co -7.515 -1.239 -1.991
```

***

## KSe2Cl (GGA-PBE)

Data for a geometry-optimized KSe2Cl structure.

Values from the calculation:
mass density	2.985	Mg/m³
space-group type	Imm2, No. 44
formation energy without anion corrections	-261	kJ/mol of formula units
final energy	-12.619	eV for the cell shown
energy above the lowest structure with this stoichiometry	122.8	meV/atom

```
4
Lattice="6.018 -0.107 0.028 0.712 5.976 -0.028 -2.166 -4.310 3.600" Properties=species:S:1:pos:R:3 pbc="T T T"
Se 3.879 -0.505 1.814
Se 6.232 5.435 0.000
Cl 3.438 2.998 0.000
K 1.110 2.436 1.786
```